1.
{
  "formula": "Li2CaCd",
  "functional": "GGA-PBE",
  "state": "relaxed",
  "relative_energy_mev_per_atom": 55,
  "n_ef_per_ev_atom": 0.5634,
  "energy_ev_per_atom": -1.815,
  "formation_energy_kj_per_mol_atoms": -12.5,
  "cell": [[-0.8346, 0.0873, -3.5731], [2.9083, -2.1193, -0.7311], [-4.0309, -5.8076, 0.7996]],
  "species": ["Ca", "Li", "Li", "Cd"],
  "frac_coords": [[0.5000, 0.5000, 0.2500], [0.0000, 0.0000, 0.9436], [0.0000, 0.0000, 0.5564], [0.5000, 0.5000, 0.7500]]
}

2.
{
  "formula": "HgP2SI",
  "functional": "GGA-PBE",
  "state": "relaxed",
  "relative_energy_mev_per_atom": 0,
  "n_ef_per_ev_atom": 0.9993,
  "e_form_raw_ev_per_atom": 1.2113,
  "energy_ev_per_atom": -2.149,
  "cell": [[-0.6043, 5.0538, -0.8791], [-5.1171, -0.6558, -0.2527], [-0.3397, 0.7966, 4.8129]],
  "species": ["Hg", "I", "P", "S", "P"],
  "frac_coords": [[0.0000, 0.0000, 0.0000], [0.5000, 0.5000, 0.5000], [0.0000, 0.5000, 0.0000], [0.0000, 0.0000, 0.5000], [0.5000, 0.0000, 0.0000]]
}

3.
{
  "formula": "TaTePb2",
  "functional": "GGA-PBE",
  "state": "relaxed",
  "n_ef_per_ev_atom": 0.7608,
  "e_form_raw_ev_per_atom": 0.3357,
  "energy_ev_per_atom": -5.267,
  "cell": [[-3.2282, 5.4043, 4.5340], [-5.8709, 3.9262, 3.2098], [-0.9626, -2.0003, 4.1540]],
  "species": ["Ta", "Te", "Pb", "Pb"],
  "frac_coords": [[0.7500, 0.7500, 0.7500], [0.2500, 0.2500, 0.2500], [0.0626, 0.0626, 0.9371], [0.4374, 0.4374, 0.5629]]
}

4.
{
  "formula": "Ag5H4Pd4",
  "functional": "GGA-PBE",
  "state": "relaxed",
  "n_ef_per_ev_atom": 0.3092,
  "energy_ev_per_atom": -3.695,
  "cell": [[-2.6011, 0.0811, -1.3950], [-1.4409, -7.5802, -0.8787], [-4.9059, -0.0527, 6.0196]],
  "species": ["Pd", "Ag", "Ag", "H", "H", "Ag", "Pd", "Pd", "Ag", "H", "Pd", "H", "Ag"],
  "frac_coords": [[0.1423, 0.4362, 0.2792], [0.0000, 0.0000, 0.0000], [0.6296, 0.6795, 0.0613], [0.0041, 0.6842, 0.3077], [0.6883, 0.3077, 0.3158], [0.6909, 0.9387, 0.6795], [0.8577, 0.5638, 0.7208], [0.5785, 0.2792, 0.5638], [0.3091, 0.0613, 0.3205], [0.3117, 0.6923, 0.6842], [0.4215, 0.7208, 0.4362], [0.9959, 0.3158, 0.6923], [0.3704, 0.3205, 0.9387]]
}

5.
{
  "formula": "PrErTh2",
  "functional": "GGA-PBE",
  "state": "relaxed",
  "relative_energy_mev_per_atom": 0,
  "n_ef_per_ev_atom": 1.6113,
  "energy_ev_per_atom": -6.015,
  "formation_energy_kj_per_mol_atoms": 2.9,
  "cell": [[-4.4378, -2.3989, 0.2119], [2.3530, -4.2079, 1.6408], [3.2159, 5.4819, 9.4468]],
  "species": ["Th", "Th", "Er", "Pr", "Er", "Pr", "Th", "Th"],
  "frac_coords": [[0.6194, 0.2500, 0.1191], [0.8786, 0.2500, 0.8784], [0.8670, 0.7500, 0.3672], [0.6331, 0.7500, 0.6326], [0.1330, 0.2500, 0.6328], [0.3669, 0.2500, 0.3674], [0.1214, 0.7500, 0.1216], [0.3806, 0.7500, 0.8809]]
}

6.
{
  "formula": "BaAcTeN",
  "functional": "GGA-PBE",
  "state": "relaxed",
  "e_form_raw_ev_per_atom": -0.9923,
  "energy_ev_per_atom": -5.367,
  "cell": [[-3.7561, -0.2883, -1.6923], [-1.7434, -3.7049, -0.5385], [-5.2079, -0.8190, 6.6596]],
  "species": ["Ac", "N", "Ba", "Te"],
  "frac_coords": [[0.6400, 0.6400, 0.0800], [0.3558, 0.3558, 0.9325], [0.7762, 0.7762, 0.6713], [0.2066, 0.2066, 0.3802]]
}

7.
{
  "formula": "RbAgHgTe2",
  "functional": "GGA-PBE",
  "state": "relaxed",
  "n_ef_per_ev_atom": 0.0709,
  "e_form_raw_ev_per_atom": -0.4426,
  "energy_ev_per_atom": -2.523,
  "cell": [[-2.3486, 0.4098, -4.0921], [7.3689, -1.9485, -1.6838], [-4.4366, -9.6446, 1.5805]],
  "species": ["Te", "Hg", "Te", "Te", "Te", "Hg", "Rb", "Ag", "Rb", "Ag"],
  "frac_coords": [[0.6263, 0.2526, 0.3358], [0.9622, 0.9243, 0.7865], [0.3737, 0.7474, 0.6642], [0.1393, 0.2786, 0.9358], [0.8607, 0.7214, 0.0642], [0.0378, 0.0757, 0.2135], [0.3274, 0.6547, 0.3094], [0.6512, 0.3024, 0.0805], [0.6726, 0.3453, 0.6906], [0.3488, 0.6976, 0.9195]]
}

8.
{
  "formula": "Pm15PrNd4",
  "functional": "GGA-PBE",
  "state": "relaxed",
  "n_ef_per_ev_atom": 1.4651,
  "energy_ev_per_atom": -4.741,
  "formation_energy_kj_per_mol_atoms": 1.4,
  "cell": [[5.1794, 0.0000, 0.0000], [0.0000, 5.1794, 0.0000], [0.0000, 0.0000, 25.8538]],
  "species": ["Pm", "Pm", "Pm", "Nd", "Pm", "Nd", "Pm", "Pr", "Pm", "Pm", "Pm", "Nd", "Pm", "Nd", "Pm", "Pm", "Pm", "Pm", "Pm", "Pm"],
  "frac_coords": [[0.5000, 0.5000, 0.0000], [0.0000, 0.5000, 0.1003], [0.5000, 0.5000, 0.6000], [0.0000, 0.0000, 0.6000], [0.5000, 0.0000, 0.8997], [0.0000, 0.0000, 0.7998], [0.5000, 0.0000, 0.3001], [0.0000, 0.0000, 0.0000], [0.5000, 0.5000, 0.4000], [0.5000, 0.5000, 0.2002], [0.5000, 0.0000, 0.6999], [0.0000, 0.0000, 0.2002], [0.5000, 0.0000, 0.1003], [0.0000, 0.0000, 0.4000], [0.0000, 0.5000, 0.8997], [0.0000, 0.5000, 0.3001], [0.5000, 0.5000, 0.7998], [0.0000, 0.5000, 0.5000], [0.5000, 0.0000, 0.5000], [0.0000, 0.5000, 0.6999]]
}

Number 1: magnetization 0.00 μB per atom. Number 2: magnetization 0.23 μB per atom. Number 3: magnetization 0.00 μB per atom. Number 4: magnetization 0.00 μB per atom. Number 5: magnetization 0.00 μB per atom. Number 6: magnetization 0.00 μB per atom. Number 7: magnetization 0.00 μB per atom. Number 8: magnetization 0.00 μB per atom.